Tm2NpScP4 after structural relaxation, computed with PBE.

The structure belongs to space group P2/m (No. 10); the cell edges are 6.7415, 3.8996 and 6.7578 Å and the angles 90.00°, 109.30° and 90.00°. Symmetry generates all atoms from Tm at (0.0000, 0.0000, 0.0000), Tm at (0.5000, 0.5000, 0.0000), Np at (0.0000, 0.5000, 0.5000), Sc at (0.5000, 0.0000, 0.5000), P at (0.2526, 0.0000, 0.7448) and P at (0.2557, 0.5000, 0.2591).

=====

Np3ScU2P6 after structural relaxation, computed with PBE.

The structure belongs to space group C2/m (No. 12); the cell edges are 6.8359, 11.8337 and 6.7179 Å and the angles 90.00°, 109.81° and 90.00°. Symmetry generates all atoms from Np at (0.0000, 0.0000, 0.0000), Np at (0.0000, 0.3322, 0.0000), Sc at (0.0000, 0.5000, 0.5000), U at (0.0000, 0.1660, 0.5000), P at (0.2452, 0.3358, 0.7440) and P at (0.2456, 0.5000, 0.2527).

=====

NpSc2UP4 after structural relaxation, computed with PBE.

The structure belongs to space group P2/m (No. 10); the cell edges are 6.6563, 3.8492 and 6.6831 Å and the angles 90.00°, 109.43° and 90.00°. Symmetry generates all atoms from Np at (0.0000, 0.0000, 0.0000), Sc at (0.0000, 0.5000, 0.5000), Sc at (0.5000, 0.0000, 0.5000), U at (0.5000, 0.5000, 0.0000), P at (0.2475, 0.0000, 0.7386) and P at (0.2546, 0.5000, 0.2608).

=====

Y2NpScP4 after structural relaxation, computed with PBE.

The structure belongs to space group P2/m (No. 10); the cell edges are 6.7950, 3.9333 and 6.8195 Å and the angles 90.00°, 109.29° and 90.00°. Symmetry generates all atoms from Y at (0.0000, 0.0000, 0.0000), Y at (0.5000, 0.5000, 0.0000), Np at (0.0000, 0.5000, 0.5000), Sc at (0.5000, 0.0000, 0.5000), P at (0.2507, 0.0000, 0.7398) and P at (0.2570, 0.5000, 0.2638).

=====

YNpSc2P4 after structural relaxation, computed with PBE.

The structure belongs to space group P2/m (No. 10); the cell edges are 6.6781, 3.8691 and 6.7170 Å and the angles 90.00°, 109.41° and 90.00°. Symmetry generates all atoms from Y at (0.0000, 0.0000, 0.0000), Np at (0.0000, 0.5000, 0.5000), Sc at (0.5000, 0.0000, 0.5000), Sc at (0.5000, 0.5000, 0.0000), P at (0.2621, 0.0000, 0.7511) and P at (0.2626, 0.5000, 0.2589).

=====

Zr2NpScP4 after structural relaxation, computed with PBE.

The structure belongs to space group P2/m (No. 10); the cell edges are 6.5403, 3.7886 and 6.5996 Å and the angles 90.00°, 109.22° and 90.00°. Symmetry generates all atoms from Zr at (0.0000, 0.0000, 0.0000), Zr at (0.5000, 0.5000, 0.0000), Np at (0.0000, 0.5000, 0.5000), Sc at (0.5000, 0.0000, 0.5000), P at (0.2528, 0.5000, 0.2484) and P at (0.2561, 0.0000, 0.7555).

=====

Zr2Np3ScP6 after structural relaxation, computed with PBE.

The structure belongs to space group C2/m (No. 12); the cell edges are 6.6675, 11.5365 and 6.6517 Å and the angles 90.00°, 109.49° and 90.00°. Symmetry generates all atoms from Zr at (0.0000, 0.1666, 0.0000), Np at (0.0000, 0.0000, 0.5000), Np at (0.0000, 0.3336, 0.5000), Sc at (0.0000, 0.5000, 0.0000), P at (0.2465, 0.3335, 0.2401) and P at (0.2467, 0.0000, 0.2394).

=====

ZrNp2ScP4 after structural relaxation, computed with PBE.

The structure belongs to space group P2/m (No. 10); the cell edges are 6.6544, 3.8388 and 6.6759 Å and the angles 90.00°, 109.39° and 90.00°. Symmetry generates all atoms from Zr at (0.0000, 0.0000, 0.0000), Np at (0.5000, 0.0000, 0.5000), Np at (0.5000, 0.5000, 0.0000), Sc at (0.0000, 0.5000, 0.5000), P at (0.2382, 0.0000, 0.7463) and P at (0.2390, 0.5000, 0.2474).

=====

Number 1: electronic total energy -7.61 eV per atom, volume 167.7 Å³/f.u.. Number 2: electronic total energy -9.36 eV per atom, volume 255.6 Å³/f.u.. Number 3: electronic total energy -8.53 eV per atom, volume 161.5 Å³/f.u.. Number 4: electronic total energy -8.12 eV per atom, volume 172.0 Å³/f.u.. Number 5: electronic total energy -8.07 eV per atom, volume 163.7 Å³/f.u.. Number 6: electronic total energy -8.55 eV per atom, volume 154.4 Å³/f.u.. Number 7: electronic total energy -9.06 eV per atom, volume 241.2 Å³/f.u.. Number 8: electronic total energy -8.96 eV per atom, volume 160.9 Å³/f.u..